Computed, not measured: DyS4 after structural relaxation at the GGA-PBE level of DFT.

Values from the calculation:
- VASP energy: -5.045 eV per atom
- Energy above the most stable polymorph in this dataset: 0.000 eV per atom
- Total moment: 0.00 μB/f.u.
- Symmetry: No. 2

Cell lengths 3.9452, 7.6147, 5.5582 Å; angles 79.85, 69.42, 59.86 degrees
Last column: nearest neighbours and their distance in Å.
Fractional positions:
1 Dy 0.0000 0.0000 0.0000  8 S 2.79-2.80
2 S 0.1524 0.2566 0.1986  1 S 2.07
3 S 0.6508 0.7435 0.1985  1 S 2.07
4 S 0.8476 0.7434 0.8014  1 S 2.07
5 S 0.3492 0.2565 0.8015  1 S 2.07

Computed, not measured: Dy4S5 after structural relaxation at the GGA-PBE level of DFT.

Values from the calculation:
- VASP energy: -5.852 eV per atom
- Total moment: 0.00 μB/f.u.
- Symmetry: No. 71

Cell lengths 3.5784, 7.9541, 7.9541 Å; angles 61.28, 77.01, 77.01 degrees
Last column: nearest neighbours and their distance in Å.
Fractional positions:
1 Dy 0.3693 0.5847 0.6779  7 S 2.75-3.03
2 Dy 0.3693 0.0113 0.2513  7 S 2.75-3.03
3 Dy 0.6307 0.7487 0.9887  7 S 2.75-3.03
4 Dy 0.6307 0.3221 0.4153  7 S 2.75-3.03
5 S 0.0000 0.0222 0.9778  1 S 2.34
6 S 0.0000 0.3111 0.6889  1 S 2.34
7 S 0.0000 0.6667 0.3333  2 S 2.88, 8 Dy 3.03
8 S 0.2481 0.4188 0.0855  6 Dy 2.82-2.93
9 S 0.7519 0.9145 0.5812  6 Dy 2.82-2.93

Computed, not measured: Dy3S2 after structural relaxation at the GGA-PBE level of DFT.

Values from the calculation:
- VASP energy: -5.930 eV per atom
- Energy above the most stable polymorph in this dataset: 0.055 eV per atom
- Total moment: 0.00 μB/f.u.
- Symmetry: No. 167

Cell lengths 6.6855, 6.6855, 7.4012 Å; angles 63.15, 63.15, 60.00 degrees
Last column: nearest neighbours and their distance in Å.
Fractional positions:
1 S 0.8370 0.8370 0.4889  6 Dy 2.70-2.75
2 S 0.3370 0.3370 0.9889  6 Dy 2.70-2.75
3 S 0.1630 0.1630 0.5111  6 Dy 2.70-2.75
4 S 0.6630 0.6630 0.0111  6 Dy 2.70-2.75
5 Dy 0.0799 0.7500 0.7500  4 S 2.70-2.75
6 Dy 0.7500 0.4201 0.7500  4 S 2.70-2.75
7 Dy 0.4201 0.0799 0.7500  4 S 2.70-2.75
8 Dy 0.2500 0.5799 0.2500  4 S 2.70-2.75
9 Dy 0.5799 0.9201 0.2500  4 S 2.70-2.75
10 Dy 0.9201 0.2500 0.2500  4 S 2.70-2.75

Computed, not measured: Dy3S2 after structural relaxation at the GGA-PBE level of DFT.

Values from the calculation:
- VASP energy: -5.985 eV per atom
- Energy above the most stable polymorph in this dataset: 0.000 eV per atom
- Total moment: 0.63 μB/f.u.
- Symmetry: No. 166

Cell lengths 3.8181, 3.8181, 9.7810 Å; angles 78.74, 78.74, 60.00 degrees
Last column: nearest neighbours and their distance in Å.
Fractional positions:
1 Dy 0.0000 0.0000 0.0000  6 S 2.75
2 Dy 0.7835 0.7835 0.6494  3 S 2.79
3 Dy 0.2165 0.2165 0.3506  3 S 2.79
4 S 0.3906 0.3906 0.8282  6 Dy 2.75-2.79
5 S 0.6094 0.6094 0.1718  6 Dy 2.75-2.79

Computed, not measured: Dy3S4 after structural relaxation at the GGA-PBE level of DFT.

Values from the calculation:
- VASP energy: -6.402 eV per atom
- Energy above the most stable polymorph in this dataset: 0.000 eV per atom
- Total moment: 0.00 μB/f.u.
- Symmetry: No. 65

Cell lengths 3.9298, 6.7237, 6.7237 Å; angles 108.47, 90.00, 90.00 degrees
Last column: nearest neighbours and their distance in Å.
Fractional positions:
1 Dy 0.0000 0.5000 0.0000  6 S 2.73-2.78
2 Dy 0.5000 0.0000 0.0000  6 S 2.73-2.76
3 Dy 0.0000 0.0000 0.5000  6 S 2.73-2.78
4 S 0.5000 0.7473 0.2527  5 Dy 2.76-2.78
5 S 0.0000 0.2414 0.2414  4 Dy 2.73
6 S 0.5000 0.2527 0.7473  5 Dy 2.76-2.78
7 S 0.0000 0.7586 0.7586  4 Dy 2.73

Computed, not measured: Dy3S4 after structural relaxation at the GGA-PBE level of DFT.

Values from the calculation:
- VASP energy: -6.350 eV per atom
- Energy above the most stable polymorph in this dataset: 0.052 eV per atom
- Total moment: 0.00 μB/f.u.
- Symmetry: No. 12

Cell lengths 3.9439, 6.8883, 7.4282 Å; angles 115.33, 105.39, 90.00 degrees
Last column: nearest neighbours and their distance in Å.
Fractional positions:
1 Dy 0.0000 0.0000 0.0000  6 S 2.74-2.79
2 Dy 0.2726 0.2796 0.5453  6 S 2.70-2.82
3 Dy 0.7274 0.7204 0.4547  6 S 2.70-2.82
4 S 0.1248 0.4381 0.2496  4 Dy 2.70-2.78
5 S 0.8752 0.5619 0.7504  4 Dy 2.70-2.78
6 S 0.3614 0.9966 0.7228  5 Dy 2.76-2.82
7 S 0.6386 0.0034 0.2772  5 Dy 2.76-2.82

Number 1 is which compound?
DyS4

Which formula does entry 4 have?
Dy3S2